MoAsOsBr2 | GGA-PBE | relaxed

The structure belongs to space group P4/mmm (No. 123); the cell edges are 5.250, 5.250 and 4.655 Å and the angles 90.00°, 90.00° and 90.00°. The asymmetric unit holds Mo at (0.000, 0.000, 0.000), As at (0.500, 0.500, 0.000), Os at (0.500, 0.500, 0.500) and Br at (0.000, 0.500, 0.500).

As for the spin magnetization: 4.51 Bohr magnetons per cell. The polymorph energy (0 for the lowest one) is 0 meV/atom. The density of states at the Fermi level is 3.0 states/eV/cell. As for the formation energy without anion corrections: 1.214 eV per atom.

Mo2AsOsBr | GGA-PBE | relaxed

The structure belongs to space group P4/mmm (No. 123); the cell edges are 4.712, 4.712 and 4.921 Å and the angles 90.00°, 90.00° and 90.00°. The asymmetric unit holds Mo at (0.000, 0.500, 0.000), As at (0.000, 0.000, 0.000), Os at (0.500, 0.500, 0.500) and Br at (0.000, 0.000, 0.500).

As for the spin magnetization: 4.44 Bohr magnetons per cell. The density of states at the Fermi level is 7.9 states/eV/cell. As for the formation energy without anion corrections: 2.169 eV per atom.

MoAs2OsBr | GGA-PBE | relaxed

The structure belongs to space group P4/mmm (No. 123); the cell edges are 4.859, 4.859 and 5.048 Å and the angles 90.00°, 90.00° and 90.00°. The asymmetric unit holds Mo at (0.000, 0.000, 0.000), As at (0.000, 0.500, 0.000), Os at (0.500, 0.500, 0.500) and Br at (0.000, 0.000, 0.500).

As for the spin magnetization: 3.64 Bohr magnetons per cell. The polymorph energy (0 for the lowest one) is 299 meV/atom. The density of states at the Fermi level is 4.5 states/eV/cell. As for the formation energy without anion corrections: 1.487 eV per atom.

MoAs2OsBr | GGA-PBE | relaxed

The structure belongs to space group P4/mmm (No. 123); the cell edges are 4.874, 4.874 and 4.548 Å and the angles 90.00°, 90.00° and 90.00°. The asymmetric unit holds Mo at (0.000, 0.000, 0.000), As at (0.000, 0.500, 0.500), Os at (0.500, 0.500, 0.000) and Br at (0.000, 0.000, 0.500).

As for the spin magnetization: 0.62 Bohr magnetons per cell. The polymorph energy (0 for the lowest one) is 1111 meV/atom. The density of states at the Fermi level is 6.8 states/eV/cell. As for the formation energy without anion corrections: 2.299 eV per atom.